# 1
# Sc3Cr5H12

A relaxed Sc3Cr5H12 crystal (PBE, Alexandria via LeMat-Bulk).

The value obtained for the uncorrected energy is -885.11 eV per cell.

Unit cell a=10.792 b=10.792 c=10.792 alpha=90.00 beta=90.00 gamma=90.00
Space group Ia-3d (No. 230)
Inequivalent atoms, fractional coordinates:
Sc 0.000 0.250 0.125 (multiplicity 24)
Cr 0.000 0.000 0.000 (multiplicity 16)
Cr 0.000 0.250 0.375 (multiplicity 24)
H 0.021 0.063 0.646 (multiplicity 96)

---

# 2
# Sc2CrH

A relaxed Sc2CrH crystal (PBE, Alexandria via LeMat-Bulk).

The value obtained for the uncorrected energy is -71.85 eV per cell.

Unit cell a=2.9607 b=2.9607 c=23.0439 alpha=90.00 beta=90.00 gamma=120.00
Space group R-3m (No. 166, hexagonal axes)
Inequivalent atoms, fractional coordinates:
Sc 0.0000 0.0000 0.1082 (multiplicity 6)
Cr 0.0000 0.0000 0.0000 (multiplicity 3)
H 0.0000 0.0000 0.5000 (multiplicity 3)

---

Copy entry 2 word for word.
# Sc2CrH

A relaxed Sc2CrH crystal (PBE, Alexandria via LeMat-Bulk).

The value obtained for the uncorrected energy is -71.85 eV per cell.

Unit cell a=2.9607 b=2.9607 c=23.0439 alpha=90.00 beta=90.00 gamma=120.00
Space group R-3m (No. 166, hexagonal axes)
Inequivalent atoms, fractional coordinates:
Sc 0.0000 0.0000 0.1082 (multiplicity 6)
Cr 0.0000 0.0000 0.0000 (multiplicity 3)
H 0.0000 0.0000 0.5000 (multiplicity 3)